Entry 1
Computed, not measured: a relaxed structure of Mg6Si5 at the GGA-PBE level of DFT.

a = 5.238 Å, b = 5.886 Å, c = 14.405 Å
α = 87.70°, β = 99.44°, γ = 96.05°
Fractional positions:
Mg 0.311 0.442 0.049
Mg 0.740 0.250 0.970
Mg 0.138 0.526 0.388
Mg 0.849 0.116 0.635
Mg 0.196 0.935 0.994
Mg 0.643 0.757 0.871
Mg 0.669 0.743 0.492
Mg 0.322 0.504 0.626
Mg 0.727 0.862 0.121
Mg 0.846 0.376 0.182
Mg 0.015 0.012 0.341
Mg 0.175 0.324 0.837
Si 0.129 0.815 0.805
Si 0.647 0.316 0.783
Si 0.237 0.735 0.185
Si 0.287 0.141 0.194
Si 0.464 0.224 0.488
Si 0.355 0.027 0.693
Si 0.860 0.589 0.682
Si 0.592 0.257 0.335
Si 0.193 0.890 0.528
Si 0.608 0.664 0.304

## Properties
Spin magnetization (μB/cell): 0.0
DOS at the Fermi energy (states/eV per cell): 6.68

Entry 2
Computed, not measured: a relaxed structure of Mg6Si5 at the GGA-PBE level of DFT.

a = 4.021 Å, b = 7.013 Å, c = 15.593 Å
α = 80.57°, β = 88.92°, γ = 87.62°
Fractional positions:
Si 0.184 0.730 0.218
Si 0.978 0.053 0.758
Si 0.160 0.137 0.216
Si 0.675 0.705 0.318
Si 0.664 0.881 0.555
Si 0.512 0.920 0.704
Si 0.681 0.166 0.447
Si 0.661 0.064 0.308
Si 0.659 0.588 0.762
Si 0.681 0.339 0.671
Mg 0.676 0.452 0.169
Mg 0.175 0.863 0.427
Mg 0.178 0.190 0.572
Mg 0.676 0.525 0.492
Mg 0.680 0.544 0.938
Mg 0.178 0.254 0.035
Mg 0.154 0.631 0.633
Mg 0.190 0.346 0.828
Mg 0.184 0.735 0.040
Mg 0.677 0.960 0.129
Mg 0.178 0.390 0.350
Mg 0.699 0.023 0.926

## Properties
Spin magnetization (μB/cell): 0.0
DOS at the Fermi energy (states/eV per cell): 7.65

Least stable of them? entry 2.

Entry 1
Computed, not measured: a relaxed structure of Mg6Si5 at the GGA-PBE level of DFT.

a = 3.919 Å, b = 6.974 Å, c = 15.839 Å
α = 94.60°, β = 97.05°, γ = 89.97°
Fractional positions:
Si 0.869 0.188 0.215
Si 0.421 0.220 0.319
Si 0.149 0.946 0.779
Si 0.598 0.518 0.676
Si 0.536 0.004 0.550
Si 0.604 0.881 0.688
Si 0.416 0.859 0.309
Si 0.484 0.733 0.446
Si 0.873 0.809 0.221
Si 0.148 0.569 0.775
Mg 0.320 0.975 0.113
Mg 0.082 0.218 0.643
Mg 0.350 0.473 0.177
Mg 0.511 0.370 0.498
Mg 0.667 0.254 0.812
Mg 0.975 0.045 0.426
Mg 0.234 0.482 0.940
Mg 0.709 0.852 0.898
Mg 0.793 0.666 0.059
Mg 0.936 0.518 0.351
Mg 0.046 0.696 0.571
Mg 0.779 0.227 0.030

## Properties
Spin magnetization (μB/cell): 0.0
DOS at the Fermi energy (states/eV per cell): 8.19

Entry 2
Computed, not measured: a relaxed structure of Mg6Si5 at the GGA-PBE level of DFT.

a = 5.359 Å, b = 5.548 Å, c = 14.578 Å
α = 80.69°, β = 83.06°, γ = 78.27°
Fractional positions:
Si 0.276 0.298 0.561
Si 0.632 0.679 0.871
Si 0.686 0.320 0.175
Si 0.363 0.762 0.348
Si 0.176 0.610 0.230
Si 0.532 0.541 0.732
Si 0.786 0.460 0.313
Si 0.042 0.702 0.485
Si 0.142 0.390 0.816
Si 0.955 0.238 0.698
Mg 0.806 0.228 0.508
Mg 0.503 0.051 0.720
Mg 0.511 0.154 0.935
Mg 0.947 0.362 0.000
Mg 0.291 0.251 0.378
Mg 0.251 0.117 0.171
Mg 0.806 0.847 0.111
Mg 0.028 0.750 0.668
Mg 0.371 0.638 0.046
Mg 0.512 0.772 0.537
Mg 0.066 0.884 0.876
Mg 0.815 0.949 0.326

## Properties
Spin magnetization (μB/cell): 0.0
DOS at the Fermi energy (states/eV per cell): 7.21

Entry 3
Computed, not measured: a relaxed structure of Mg6Si5 at the GGA-PBE level of DFT.

a = 3.913 Å, b = 6.882 Å, c = 15.694 Å
α = 87.24°, β = 90.00°, γ = 90.00°
Fractional positions:
Mg 0.500 0.068 0.124
Mg 0.000 0.339 0.034
Mg 0.000 0.037 0.425
Mg 0.000 0.865 0.634
Mg 0.000 0.550 0.349
Mg 0.000 0.413 0.789
Mg 0.000 0.820 0.032
Mg 0.000 0.380 0.582
Mg 0.500 0.578 0.927
Mg 0.500 0.568 0.162
Mg 0.500 0.712 0.493
Mg 0.500 0.120 0.910
Si 0.500 0.569 0.668
Si 0.500 0.086 0.554
Si 0.000 0.265 0.216
Si 0.500 0.838 0.762
Si 0.500 0.343 0.447
Si 0.000 0.856 0.215
Si 0.500 0.193 0.701
Si 0.500 0.851 0.316
Si 0.500 0.214 0.307
Si 0.000 0.838 0.856

## Properties
Spin magnetization (μB/cell): 0.0
DOS at the Fermi energy (states/eV per cell): 7.23

Least stable of them? entry 1.

Entry 1
Computed, not measured: a relaxed structure of Mg6Si5 at the GGA-PBE level of DFT.

a = 4.196 Å, b = 8.695 Å, c = 12.298 Å
α = 78.21°, β = 81.39°, γ = 77.34°
Fractional positions:
Si 0.681 0.477 0.487
Si 0.057 0.045 0.230
Si 0.949 0.358 0.158
Si 0.708 0.541 0.285
Si 0.415 0.829 0.685
Si 0.517 0.766 0.500
Si 0.529 0.998 0.356
Si 0.670 0.121 0.893
Si 0.462 0.597 0.834
Si 0.207 0.329 0.568
Mg 0.627 0.357 0.716
Mg 0.843 0.794 0.880
Mg 0.025 0.389 0.916
Mg 0.352 0.592 0.075
Mg 0.022 0.627 0.650
Mg 0.304 0.318 0.343
Mg 0.678 0.831 0.166
Mg 0.237 0.098 0.755
Mg 0.185 0.974 0.010
Mg 0.108 0.714 0.359
Mg 0.875 0.044 0.541
Mg 0.547 0.203 0.096

## Properties
Spin magnetization (μB/cell): 0.0
DOS at the Fermi energy (states/eV per cell): 6.68

Entry 2
Computed, not measured: a relaxed structure of Mg6Si5 at the GGA-PBE level of DFT.

a = 4.450 Å, b = 6.774 Å, c = 14.191 Å
α = 90.25°, β = 93.96°, γ = 91.32°
Fractional positions:
Si 0.779 0.709 0.447
Si 0.723 0.960 0.565
Si 0.637 0.536 0.963
Si 0.741 0.440 0.679
Si 0.540 0.278 0.825
Si 0.759 0.213 0.306
Si 0.745 0.847 0.294
Si 0.228 0.830 0.209
Si 0.960 0.791 0.703
Si 0.238 0.208 0.213
Mg 0.181 0.303 0.030
Mg 0.705 0.522 0.165
Mg 0.067 0.508 0.841
Mg 0.755 0.325 0.492
Mg 0.252 0.520 0.349
Mg 0.234 0.175 0.643
Mg 0.025 0.062 0.857
Mg 0.705 0.029 0.108
Mg 0.174 0.774 0.016
Mg 0.508 0.808 0.807
Mg 0.303 0.641 0.573
Mg 0.244 0.016 0.416

## Properties
Spin magnetization (μB/cell): 0.0
DOS at the Fermi energy (states/eV per cell): 6.00

Entry 3
Computed, not measured: a relaxed structure of Mg6Si5 at the GGA-PBE level of DFT.

a = 3.917 Å, b = 6.985 Å, c = 16.058 Å
α = 101.02°, β = 96.91°, γ = 89.87°
Fractional positions:
Si 0.578 0.861 0.678
Si 0.848 0.255 0.217
Si 0.393 0.299 0.309
Si 0.464 0.503 0.450
Si 0.126 0.903 0.776
Si 0.586 0.506 0.694
Si 0.402 0.942 0.328
Si 0.132 0.526 0.788
Si 0.516 0.297 0.554
Si 0.852 0.888 0.226
Mg 0.065 0.153 0.650
Mg 0.766 0.320 0.057
Mg 0.650 0.243 0.822
Mg 0.489 0.900 0.503
Mg 0.026 0.615 0.575
Mg 0.918 0.652 0.356
Mg 0.208 0.090 0.941
Mg 0.334 0.581 0.188
Mg 0.954 0.184 0.429
Mg 0.292 0.963 0.108
Mg 0.679 0.773 0.883
Mg 0.223 0.553 0.972

## Properties
Spin magnetization (μB/cell): 0.0
DOS at the Fermi energy (states/eV per cell): 8.23

Least stable of them? entry 3.

Entry 1
Computed, not measured: a relaxed structure of Mg6Si5 at the GGA-PBE level of DFT.

a = 4.362 Å, b = 6.829 Å, c = 15.327 Å
α = 72.95°, β = 81.54°, γ = 89.85°
Fractional positions:
Si 0.190 0.389 0.780
Si 0.735 0.827 0.697
Si 0.993 0.181 0.175
Si 0.446 0.692 0.265
Si 0.456 0.048 0.247
Si 0.911 0.184 0.338
Si 0.808 0.446 0.540
Si 0.374 0.020 0.412
Si 0.735 0.464 0.694
Si 0.189 0.768 0.785
Mg 0.254 0.168 0.653
Mg 0.092 0.207 0.973
Mg 0.539 0.404 0.081
Mg 0.290 0.692 0.579
Mg 0.817 0.060 0.524
Mg 0.982 0.569 0.197
Mg 0.892 0.758 0.371
Mg 0.363 0.405 0.431
Mg 0.093 0.732 0.970
Mg 0.663 0.058 0.835
Mg 0.539 0.901 0.076
Mg 0.642 0.524 0.875

## Properties
Spin magnetization (μB/cell): 0.0
DOS at the Fermi energy (states/eV per cell): 6.59

Entry 2
Computed, not measured: a relaxed structure of Mg6Si5 at the GGA-PBE level of DFT.

a = 5.315 Å, b = 5.849 Å, c = 14.218 Å
α = 100.38°, β = 96.95°, γ = 93.99°
Fractional positions:
Si 0.270 0.515 0.784
Si 0.828 0.585 0.552
Si 0.270 0.513 0.290
Si 0.915 0.299 0.665
Si 0.107 0.925 0.640
Si 0.067 0.877 0.314
Si 0.563 0.148 0.105
Si 0.357 0.208 0.405
Si 0.367 0.505 0.124
Si 0.102 0.881 0.805
Mg 0.776 0.470 0.843
Mg 0.845 0.070 0.470
Mg 0.067 0.109 0.159
Mg 0.793 0.005 0.945
Mg 0.317 0.263 0.931
Mg 0.603 0.874 0.715
Mg 0.410 0.309 0.605
Mg 0.291 0.773 0.988
Mg 0.565 0.911 0.253
Mg 0.847 0.551 0.070
Mg 0.783 0.476 0.349
Mg 0.352 0.735 0.486

## Properties
Spin magnetization (μB/cell): 0.0
DOS at the Fermi energy (states/eV per cell): 8.01

Least stable of them? entry 1.